(1)
TcMo: PBEsol geometry, meta-GGA SCAN.

Cell and atoms, written as POSCAR:
```
TcMo
1.0
-1.770 2.157 -1.319
-2.109 -2.148 -0.683
-2.802 1.025 5.435
Mo Tc
2 2
Direct
0.500 0.000 0.868 Mo
0.000 0.500 0.132 Mo
0.500 0.000 0.361 Tc
0.000 0.500 0.639 Tc
```

Summary:
Energy relative to the elements, eV/atom: 0.06
Crystal system: tetragonal
N(E_F), states/eV/cell: 3.4
SG: P4/nmm, No. 129
E above lowest polymorph, eV per formula unit: 0.03
Calculated volume, Å³ per atom: 14.77

=====

(2)
TaNi2Rh: PBEsol geometry, meta-GGA SCAN.

Cell and atoms, written as POSCAR:
```
TaNi2Rh
1.0
-1.005 -1.422 2.611
-1.405 -2.201 -1.740
4.431 -2.920 0.115
Ni Rh Ta
2 1 1
Direct
0.000 0.000 0.015 Ni
0.500 0.500 0.224 Ni
0.000 0.000 0.497 Rh
0.500 0.500 0.764 Ta
```

Summary:
Energy relative to the elements, eV/atom: -0.27
Crystal system: tetragonal
N(E_F), states/eV/cell: 4.6
SG: P4mm, No. 99
Calculated volume, Å³ per atom: 13.07